*A*
Computed, not measured: an optimized crystal structure of Tl3AgMo at the PBE level of DFT.

Results
N(E_F) = 4.38 states/eV/f.u.
space group = Pm-3m, No. 221

POSCAR file:
```
Tl3AgMo
1.0
-2.743 -0.381 4.628
-3.074 -3.880 -2.141
3.481 -3.727 1.756
Ag Tl Mo
1 3 1
Direct
0.500 0.500 0.500
0.000 0.000 0.500
0.000 0.500 0.000
0.500 0.000 0.000
0.000 0.000 0.000
```

---

*B*
Computed, not measured: an optimized crystal structure of Tl3AgMo at the PBE level of DFT.

Results
N(E_F) = 3.33 states/eV/f.u.
space group = Pm-3m, No. 221

POSCAR file:
```
Tl3AgMo
1.0
-1.687 -4.111 -3.157
5.118 -0.794 -1.701
0.824 -3.490 4.105
Mo Ag Tl
1 1 3
Direct
0.500 0.500 0.500
0.000 0.000 0.000
0.500 0.000 0.000
0.000 0.000 0.500
0.000 0.500 0.000
```

---

Energy relative to the most stable one, in eV/atom: *A* 0.000; *B* 0.306